## Sm6HgP3S2 (GGA-PBE)

Data for a relaxed Sm6HgP3S2 crystal.

**Energy**: -71.7 eV per formula unit
**Density of states at the Fermi level**: 4.35 states/eV/cell
**Formation energy (no corrections)**: -1.546 eV/atom
**Density**: 7.04 g/cm3

a = 9.1963 Å, b = 9.1963 Å, c = 8.3173 Å
α = 102.62°, β = 102.62°, γ = 25.68°
Fractional coordinates of all 12 atoms:
Sm: 0.0015 0.0015 0.2726
Sm: 0.3250 0.3250 0.9121
Sm: 0.3345 0.3345 0.4105
Sm: 0.6656 0.6656 0.5895
Sm: 0.6750 0.6750 0.0879
Sm: 0.9985 0.9985 0.7274
Hg: 0.5000 0.5000 0.0000
P: 0.1653 0.1653 0.8344
P: 0.5000 0.5000 0.5000
P: 0.8347 0.8347 0.1656
S: 0.1691 0.1691 0.3389
S: 0.8309 0.8309 0.6611